Entry from Alexandria: crystalline Zr2CoRhN at its relaxed geometry (PBE-GGA).

abc: 4.502 4.502 3.677
angles: 90.00 90.00 90.00
Each line ends with the local moment (μB).
Positions (direct):
1 Co 0.000 0.000 0.500  0.78
2 Rh 0.500 0.500 0.500  0.03
3 Zr 0.000 0.500 0.000  0.00
4 Zr 0.500 0.000 0.000  0.00
5 N 0.000 0.000 0.000  0.03

- ΔE_f (raw) (eV per atom) = -0.82
- space-group type = P4/mmm (123)
- crystal system = tetragonal
- electronic total energy (eV/f.u.) = -44.0

---

Entry from Alexandria: crystalline CoRuN at its relaxed geometry (PBE-GGA).

abc: 2.786 2.786 9.352
angles: 81.43 81.43 60.00
Positions (direct):
1 N 0.593 0.593 0.221
2 N 0.407 0.407 0.779
3 Co 0.296 0.296 0.113
4 Co 0.704 0.704 0.887
5 Ru 0.875 0.875 0.376
6 Ru 0.125 0.125 0.624

- ΔE_f (raw) (eV per atom) = 0.41
- space-group type = R-3m (166)
- crystal system = trigonal
- electronic total energy (eV/f.u.) = -23.5

---

Question: Which formula does entry 2 have?
Answer: CoRuN